Density functional theory data (PBE) for a relaxed structure of ZrCuRe2Tc.

Cell and atoms, written as CIF:
```
data_ZrCuRe2Tc
_cell_length_a 4.7746
_cell_length_b 4.7746
_cell_length_c 4.7490
_cell_angle_alpha 90.00
_cell_angle_beta 90.00
_cell_angle_gamma 90.00
_symmetry_space_group_name_H-M 'P 4/m m m'
_symmetry_Int_Tables_number 123
_symmetry_space_group_name_Hall '-P 4 2'
loop_
_atom_site_label
_atom_site_type_symbol
_atom_site_fract_x
_atom_site_fract_y
_atom_site_fract_z
_atom_site_occupancy
Zr1 Zr 0.0000 0.0000 0.0000 1
Cu1 Cu 0.5000 0.5000 0.5000 1
Re1 Re 0.0000 0.5000 0.0000 1
Tc1 Tc 0.0000 0.0000 0.5000 1
```

Total magnetization = 1.1 Bohr magnetons per cell
V = 108.3 Å³ per cell
ΔH_f (0 K) = 12.8 eV/f.u.
Final energy = -35.07 eV per cell

Density functional theory data (PBE) for a relaxed structure of Sm2EuMg.

Cell and atoms, written as CIF:
```
data_Sm2EuMg
_cell_length_a 3.8299
_cell_length_b 3.8299
_cell_length_c 8.9884
_cell_angle_alpha 90.00
_cell_angle_beta 90.00
_cell_angle_gamma 90.00
_symmetry_space_group_name_H-M 'P 4/m m m'
_symmetry_Int_Tables_number 123
_symmetry_space_group_name_Hall '-P 4 2'
loop_
_atom_site_label
_atom_site_type_symbol
_atom_site_fract_x
_atom_site_fract_y
_atom_site_fract_z
_atom_site_occupancy
Sm1 Sm 0.0000 0.0000 0.2085 1
Eu1 Eu 0.5000 0.5000 0.5000 1
Mg1 Mg 0.5000 0.5000 0.0000 1
```

Total magnetization = 7.5 Bohr magnetons per cell
V = 131.8 Å³ per cell
ΔH_f (0 K) = 0.0 eV/f.u.
Energy relative to the lowest polymorph listed for this composition = 0.000 eV/atom
Final energy = -21.30 eV per cell

Density functional theory data (PBE) for a relaxed structure of Ba3InAu.

Cell and atoms, written as CIF:
```
data_Ba3InAu
_cell_length_a 6.3127
_cell_length_b 6.3127
_cell_length_c 6.3127
_cell_angle_alpha 90.00
_cell_angle_beta 90.00
_cell_angle_gamma 90.00
_symmetry_space_group_name_H-M 'P m -3 m'
_symmetry_Int_Tables_number 221
_symmetry_space_group_name_Hall '-P 4 2 3'
loop_
_atom_site_label
_atom_site_type_symbol
_atom_site_fract_x
_atom_site_fract_y
_atom_site_fract_z
_atom_site_occupancy
Ba1 Ba 0.0000 0.0000 0.5000 1
In1 In 0.5000 0.5000 0.5000 1
Au1 Au 0.0000 0.0000 0.0000 1
```

Total magnetization = 1.0 Bohr magnetons per cell
V = 251.6 Å³ per cell
ΔH_f (0 K) = -1.3 eV/f.u.
Energy relative to the lowest polymorph listed for this composition = 0.211 eV/atom
Final energy = -13.07 eV per cell

Density functional theory data (PBE) for a relaxed structure of Sn2HgI4.

Cell and atoms, written as CIF:
```
data_Sn2HgI4
_cell_length_a 4.5441
_cell_length_b 4.5441
_cell_length_c 53.6021
_cell_angle_alpha 90.00
_cell_angle_beta 90.00
_cell_angle_gamma 120.00
_symmetry_space_group_name_H-M 'R -3 m'
_symmetry_Int_Tables_number 166
_symmetry_space_group_name_Hall '-R 3 2"'
loop_
_atom_site_label
_atom_site_type_symbol
_atom_site_fract_x
_atom_site_fract_y
_atom_site_fract_z
_atom_site_occupancy
Sn1 Sn 0.0000 0.0000 0.0701 1
Hg1 Hg 0.0000 0.0000 0.5000 1
I1 I 0.0000 0.0000 0.2285 1
I2 I 0.0000 0.0000 0.3687 1
```

Total magnetization = 0.0 Bohr magnetons per cell
V = 958.6 Å³ per cell
Energy relative to the lowest polymorph listed for this composition = 0.000 eV/atom
Final energy = -52.35 eV per cell
Raw formation energy = -0.42 eV per atom